1.
The following is a PBE calculation of a relaxed TaCoIr crystal, from Alexandria.

The structure in POSCAR format:
```
TaCoIr
1.0
4.6361 0.0053 -0.0057
-2.2173 4.1944 -0.0320
-0.3863 -2.4945 4.5272
Co Ta Ir
2 2 2
Cartesian
0.0936 -0.5648 3.2650 Co
1.9389 2.2700 1.2246 Co
2.3907 0.7583 3.3895 Ta
-0.3583 0.9469 1.1000 Ta
0.1803 2.2515 3.3820 Ir
1.8521 -0.5463 1.1076 Ir
```

Properties
- E above lowest polymorph (eV/f.u.) = 0.472
- energy of formation (meV per atom) = -313

=====

2.
The following is a PBE calculation of a relaxed MnCd2Tc crystal, from Alexandria.

The structure in POSCAR format:
```
MnCd2Tc
1.0
-0.0591 -3.3679 -3.1458
3.5642 -0.5325 -2.8731
2.8051 -3.6284 0.4557
Mn Cd Tc
1 2 1
Cartesian
3.1551 -3.7644 -2.7816 Mn
0.0000 0.0000 0.0000 Cd
1.5776 -1.8822 -1.3908 Cd
4.7327 -5.6466 -4.1724 Tc
```

Properties
- E above lowest polymorph (eV/f.u.) = 1.189
- energy of formation (meV per atom) = 479

=====

3.
The following is a PBE calculation of a relaxed Tb2SmCu crystal, from Alexandria.

The structure in POSCAR format:
```
Tb2SmCu
1.0
-4.3707 -4.7394 -0.9533
3.9903 -4.3783 3.4720
-4.5537 2.5101 8.3989
Tb Sm Cu
8 4 4
Cartesian
-2.6704 -1.2257 4.0455 Tb
1.6856 -3.7044 2.7029 Tb
-0.9281 -2.1860 0.8320 Tb
-6.6196 -2.9032 8.2146 Tb
-4.8774 -3.8635 5.0012 Tb
-4.0059 -4.4216 10.0855 Tb
-2.2636 -5.3820 6.8721 Tb
-0.0567 -2.7441 5.9164 Tb
-1.8691 -4.6348 3.2762 Sm
-3.0649 -1.9728 7.6413 Sm
-4.8610 -3.5264 1.3228 Sm
-0.0730 -3.0812 9.5947 Sm
-5.4644 -1.2471 6.1235 Cu
-5.0949 -5.1990 7.5049 Cu
0.5304 -5.3605 4.7941 Cu
0.1608 -1.4086 3.4126 Cu
```

Properties
- E above lowest polymorph (eV/f.u.) = 0.026
- energy of formation (meV per atom) = -89

=====

4.
The following is a PBE calculation of a relaxed TbScTl2S4 crystal, from Alexandria.

The structure in POSCAR format:
```
TbScTl2S4
1.0
-1.2047 -3.7275 -0.3680
2.3063 -1.3636 6.2606
-7.4381 2.3264 0.7865
Tl S Sc Tb
2 4 1 1
Cartesian
-2.5659 0.4814 3.5236 Tl
-4.3214 -0.7006 0.2092 Tl
-1.5193 -1.7169 1.3303 S
-4.8172 -1.0478 5.3488 S
-5.3903 1.5221 2.2293 S
0.2585 -0.5592 4.8179 S
0.0000 0.0000 0.0000 Sc
0.5508 -2.5455 2.9463 Tb
```

Properties
- formation energy without anion corrections (kJ/mol of formula units) = -1094

=====

Number 1: total moment 0.328 μB per atom. Number 2: total moment 0.606 μB per atom. Number 3: total moment 0.000 μB per atom. Number 4: total moment 0.000 μB per atom.